Rb2InPb5 | PBE | relaxed

Values from the calculation:
- space group = P4/mmm
- energy relative to the elements (meV/atom) = 109

Lattice parameters (Å, degrees): 7.4201 7.4201 6.1069 90.00 90.00 90.00
Atoms (fractional coordinates):
Rb  0.0000  0.5000  0.0000
Rb  0.5000  0.0000  0.0000
In  0.0000  0.0000  0.5000
Pb  0.0000  0.0000  0.0000
Pb  0.2891  0.2891  0.5000
Pb  0.2891  0.7109  0.5000
Pb  0.7109  0.2891  0.5000
Pb  0.7109  0.7109  0.5000